[1]
# Y2Hg6Pb

A geometry-optimized Y2Hg6Pb structure (GGA-PBE, the Alexandria database).

The value obtained for the density of states at the Fermi level is 3.8 states/eV per cell. The space-group type is C2/m, No. 12. For the energy of formation from the pure elements, the calculation gives -0.182 eV per atom.

Cell: 6.635 6.635 6.270 Å, 99.66 99.66 60.38°
Sites, in units of the cell vectors:
Y 0.112 0.112 0.264
Y 0.888 0.888 0.736
Hg 0.056 0.632 0.203
Hg 0.359 0.359 0.559
Hg 0.368 0.944 0.797
Hg 0.632 0.056 0.203
Hg 0.641 0.641 0.441
Hg 0.944 0.368 0.797
Pb 0.500 0.500 0.000

[2]
# CdInSb2

A geometry-optimized CdInSb2 structure (GGA-PBE, the Alexandria database).

The value obtained for the density of states at the Fermi level is 2.4 states/eV per cell. The raw formation energy comes out at 0.01 eV/atom. The space-group type is P-4m2, No. 115.

Cell: 4.547 4.547 6.882 Å, 90.00 90.00 90.00°
Sites, in units of the cell vectors:
Cd 0.000 0.000 0.000
In 0.500 0.500 0.500
Sb 0.000 0.500 0.251
Sb 0.500 0.000 0.749

[3]
# TmFe4Os

A geometry-optimized TmFe4Os structure (GGA-PBE, the Alexandria database).

The value obtained for the density of states at the Fermi level is 6.5 states/eV per cell. The space-group type is F-43m, No. 216. For the energy of formation from the pure elements, the calculation gives 0.018 eV per atom.

Cell: 4.916 4.916 4.916 Å, 60.00 60.00 60.00°
Sites, in units of the cell vectors:
Tm 0.000 0.000 0.000
Fe 0.128 0.624 0.624
Fe 0.624 0.128 0.624
Fe 0.624 0.624 0.128
Fe 0.624 0.624 0.624
Os 0.250 0.250 0.250

[4]
# Cd4PbAu5

A geometry-optimized Cd4PbAu5 structure (GGA-PBE, the Alexandria database).

The value obtained for the density of states at the Fermi level is 2.5 states/eV per cell. The space-group type is P4/mmm, No. 123. For the energy of formation from the pure elements, the calculation gives -0.137 eV per atom.

Cell: 3.468 3.468 17.034 Å, 90.00 90.00 90.00°
Sites, in units of the cell vectors:
Cd 0.000 0.000 0.096
Cd 0.000 0.000 0.288
Cd 0.000 0.000 0.712
Cd 0.000 0.000 0.904
Pb 0.000 0.000 0.500
Au 0.500 0.500 0.000
Au 0.500 0.500 0.192
Au 0.500 0.500 0.382
Au 0.500 0.500 0.618
Au 0.500 0.500 0.808